VASP calculation (GGA-PBE) on a relaxed structure of BaSbIO2.

Geometry as POSCAR:
```
BaSbIO2
1.0
4.8457 0.0000 0.0000
0.0000 4.8457 0.0000
0.0000 0.0000 7.3807
Ba Sb I O
1 1 1 2
Direct
0.0000 0.0000 0.0000 Ba
0.5000 0.5000 0.5000 Sb
0.0000 0.0000 0.5000 I
0.0000 0.5000 0.0000 O
0.5000 0.0000 0.0000 O
```

Summary:
The symmetry is No. 123. The value obtained for the formation energy from raw total energies is -118 kJ/mol of formula units.


VASP calculation (GGA-PBE) on a relaxed structure of ZnCo2B.

Geometry as POSCAR:
```
ZnCo2B
1.0
2.7596 0.0000 0.0000
-1.3798 2.3898 0.0000
0.0000 0.0000 19.0783
Zn Co B
3 6 3
Direct
0.0000 0.0000 0.0000 Zn
0.3333 0.6667 0.6667 Zn
0.6667 0.3333 0.3333 Zn
0.0000 0.0000 0.5599 Co
0.0000 0.0000 0.7728 Co
0.3333 0.6667 0.2265 Co
0.3333 0.6667 0.4395 Co
0.6667 0.3333 0.1061 Co
0.6667 0.3333 0.8932 Co
0.0000 0.0000 0.1660 B
0.3333 0.6667 0.8326 B
0.6667 0.3333 0.4993 B
```

Summary:
The symmetry is No. 160. The relative energy among the computed polymorphs comes out at 118.6 meV/atom.


VASP calculation (GGA-PBE) on a relaxed structure of KNa2Hg7Au2.

Geometry as POSCAR:
```
KNa2Hg7Au2
1.0
3.7707 -3.9544 0.0000
3.7707 3.9544 0.0000
-0.7288 0.0000 12.1149
K Na Hg Au
1 2 7 2
Direct
0.0000 0.0000 0.0000 K
0.0522 0.0522 0.3469 Na
0.9478 0.9478 0.6531 Na
0.1708 0.5462 0.2191 Hg
0.3212 0.3212 0.5454 Hg
0.4538 0.8292 0.7809 Hg
0.5000 0.5000 0.0000 Hg
0.5462 0.1708 0.2191 Hg
0.6788 0.6788 0.4546 Hg
0.8292 0.4538 0.7809 Hg
0.3067 0.3067 0.7874 Au
0.6933 0.6933 0.2126 Au
```

Summary:
The symmetry is No. 12. The value obtained for the energy is -1.17 eV per atom.


VASP calculation (GGA-PBE) on a relaxed structure of CeNd4Ga2.

Geometry as POSCAR:
```
CeNd4Ga2
1.0
2.5005 1.4437 10.2014
-2.5005 1.4437 10.2014
0.0000 -2.8874 10.2014
Ce Nd Ga
1 4 2
Direct
0.0000 0.0000 0.0000 Ce
0.2042 0.2042 0.2042 Nd
0.3887 0.3887 0.3887 Nd
0.6113 0.6113 0.6113 Nd
0.7958 0.7958 0.7958 Nd
0.0983 0.0983 0.0983 Ga
0.9017 0.9017 0.9017 Ga
```

Summary:
The symmetry is No. 166. The value obtained for the energy is -4.51 eV per atom.


VASP calculation (GGA-PBE) on a relaxed structure of AcCuNi2.

Geometry as POSCAR:
```
AcCuNi2
1.0
4.1936 0.0000 0.0000
-2.0968 3.6317 0.0000
0.0000 0.0000 14.8549
Ac Cu Ni
3 3 6
Direct
0.0000 0.0000 0.0000 Ac
0.3333 0.6667 0.6667 Ac
0.6667 0.3333 0.3333 Ac
0.0000 0.0000 0.5000 Cu
0.3333 0.6667 0.1667 Cu
0.6667 0.3333 0.8333 Cu
0.0000 0.0000 0.1920 Ni
0.0000 0.0000 0.8080 Ni
0.3333 0.6667 0.4746 Ni
0.3333 0.6667 0.8587 Ni
0.6667 0.3333 0.1413 Ni
0.6667 0.3333 0.5254 Ni
```

Summary:
The symmetry is No. 166. The relative energy among the computed polymorphs comes out at 0.0 meV/atom.


VASP calculation (GGA-PBE) on a relaxed structure of CeYLuZr.

Geometry as POSCAR:
```
CeYLuZr
1.0
7.6971 0.0000 0.0000
0.0000 7.6971 0.0000
0.0000 0.0000 7.6971
Ce Y Lu Zr
4 4 4 4
Direct
0.0000 0.0000 0.0000 Ce
0.0000 0.5000 0.5000 Ce
0.5000 0.0000 0.5000 Ce
0.5000 0.5000 0.0000 Ce
0.0000 0.0000 0.5000 Y
0.0000 0.5000 0.0000 Y
0.5000 0.0000 0.0000 Y
0.5000 0.5000 0.5000 Y
0.2500 0.2500 0.2500 Lu
0.2500 0.7500 0.7500 Lu
0.7500 0.2500 0.7500 Lu
0.7500 0.7500 0.2500 Lu
0.2500 0.2500 0.7500 Zr
0.2500 0.7500 0.2500 Zr
0.7500 0.2500 0.2500 Zr
0.7500 0.7500 0.7500 Zr
```

Summary:
The symmetry is No. 216. The value obtained for the energy is -6.16 eV per atom.


VASP calculation (GGA-PBE) on a relaxed structure of NaGe.

Geometry as POSCAR:
```
NaGe
1.0
10.5842 0.0000 0.0000
0.0000 10.5842 0.0000
0.0000 0.0000 3.9796
Na Ge
8 8
Direct
0.0735 0.7717 0.0000 Na
0.2283 0.0735 0.0000 Na
0.2766 0.5913 0.5000 Na
0.4087 0.2766 0.5000 Na
0.5913 0.7234 0.5000 Na
0.7234 0.4087 0.5000 Na
0.7717 0.9265 0.0000 Na
0.9265 0.2283 0.0000 Na
0.0622 0.3970 0.5000 Ge
0.1989 0.3575 0.0000 Ge
0.3575 0.8010 0.0000 Ge
0.3970 0.9378 0.5000 Ge
0.6030 0.0622 0.5000 Ge
0.6425 0.1989 0.0000 Ge
0.8010 0.6425 0.0000 Ge
0.9378 0.6030 0.5000 Ge
```

Summary:
The symmetry is No. 83. The value obtained for the energy is -3.00 eV per atom.


VASP calculation (GGA-PBE) on a relaxed structure of CaAlB14.

Geometry as POSCAR:
```
CaAlB14
1.0
-2.9548 5.2402 4.1337
2.9548 -5.2402 4.1337
2.9548 5.2402 -4.1337
Ca Al B
2 2 28
Direct
0.3974 0.1474 0.2500 Ca
0.6026 0.8526 0.7500 Ca
0.0000 0.0000 0.5000 Al
0.0000 0.5000 0.0000 Al
0.0186 0.8740 0.1446 B
0.0322 0.2050 0.3317 B
0.0322 0.7006 0.8272 B
0.0786 0.6673 0.4113 B
0.2011 0.5348 0.6663 B
0.2215 0.4997 0.3974 B
0.2215 0.8241 0.7218 B
0.2294 0.8740 0.3554 B
0.2441 0.3327 0.9113 B
0.3685 0.5348 0.8337 B
0.3733 0.2050 0.6728 B
0.3733 0.7006 0.1683 B
0.3977 0.1759 0.8974 B
0.3977 0.5003 0.2218 B
0.6023 0.4997 0.7782 B
0.6023 0.8241 0.1026 B
0.6267 0.2994 0.8317 B
0.6267 0.7950 0.3272 B
0.6315 0.4652 0.1663 B
0.7559 0.6673 0.0887 B
0.7706 0.1260 0.6446 B
0.7785 0.1759 0.2782 B
0.7785 0.5003 0.6026 B
0.7989 0.4652 0.3337 B
0.9214 0.3327 0.5887 B
0.9678 0.2994 0.1728 B
0.9678 0.7950 0.6683 B
0.9814 0.1260 0.8554 B
```

Summary:
The symmetry is No. 74. The value obtained for the energy is -6.38 eV per atom.


Per-record M_tot, μB/f.u.: 3.45; 0.64; 0.00; 0.77; 0.00; 1.63; 0.00; 0.00